[1]
VASP calculation (PBE) on crystalline Li2Cl at its relaxed geometry.

a = 3.4890 Å, b = 3.4890 Å, c = 5.8646 Å
α = 90.00°, β = 90.00°, γ = 120.00°
Space group P-3m1 (No. 164)
Inequivalent atoms, fractional coordinates:
Li (0.3333, 0.6667, 0.2413) [2 per cell]
Cl (0.0000, 0.0000, 0.5000) [1 per cell]

Magnetization ... 0.00 μB/f.u.
DOS at the Fermi energy ... 0.8 states/eV/f.u.
Distance to the lowest polymorph of the same formula ... 0.000 eV per atom
Formation energy without anion corrections ... -103 kJ/mol of atoms
DFT total energy ... -2.958 eV/atom
Crystal system ... trigonal

=====

[2]
VASP calculation (PBE) on crystalline Rb3Ac3HfO8 at its relaxed geometry.

a = 7.4448 Å, b = 7.4448 Å, c = 20.0349 Å
α = 90.00°, β = 90.00°, γ = 120.00°
Space group R-3m (No. 166, hexagonal axes)
Inequivalent atoms, fractional coordinates:
Rb (0.0000, 0.5000, 0.0000) [9 per cell]
Ac (0.0000, 0.5000, 0.5000) [9 per cell]
Hf (0.0000, 0.0000, 0.5000) [3 per cell]
O (0.0000, 0.0000, 0.2288) [6 per cell]
O (0.0458, 0.5229, 0.2218) [18 per cell]

Magnetization ... 0.00 μB/f.u.
DOS at the Fermi energy ... 0.0 states/eV/f.u.
Formation energy without anion corrections ... -263 kJ/mol of atoms
DFT total energy ... -7.050 eV/atom
Crystal system ... trigonal

=====

[3]
VASP calculation (PBE) on crystalline RbMg2CoBr at its relaxed geometry.

a = 4.941 Å, b = 4.941 Å, c = 6.173 Å
α = 90.00°, β = 90.00°, γ = 90.00°
Space group P4/mmm (No. 123)
Inequivalent atoms, fractional coordinates:
Rb (0.000, 0.000, 0.000) [1 per cell]
Mg (0.000, 0.500, 0.500) [2 per cell]
Co (0.500, 0.500, 0.500) [1 per cell]
Br (0.500, 0.500, 0.000) [1 per cell]

Magnetization ... 1.01 μB/f.u.
DOS at the Fermi energy ... 2.0 states/eV/f.u.
Formation energy without anion corrections ... 3 kJ/mol of atoms
DFT total energy ... -2.560 eV/atom
Crystal system ... tetragonal

=====

[4]
VASP calculation (PBE) on crystalline Tb2Pm2Tl3 at its relaxed geometry.

a = 12.360 Å, b = 3.823 Å, c = 8.714 Å
α = 90.00°, β = 94.24°, γ = 90.00°
Space group C2/m (No. 12)
Inequivalent atoms, fractional coordinates:
Tb (0.064, 0.000, 0.213) [4 per cell]
Pm (0.205, 0.000, 0.659) [4 per cell]
Tl (0.000, 0.500, 0.500) [2 per cell]
Tl (0.149, 0.500, 0.953) [4 per cell]

Magnetization ... 0.56 μB/f.u.
DOS at the Fermi energy ... 6.4 states/eV/f.u.
Distance to the lowest polymorph of the same formula ... 0.000 eV per atom
DFT total energy ... -3.950 eV/atom
Crystal system ... monoclinic
ΔH_f (0 K) ... -0.26 eV/atom

=====

[5]
VASP calculation (PBE) on crystalline Te2AsPd4 at its relaxed geometry.

a = 4.790 Å, b = 4.790 Å, c = 13.658 Å
α = 90.00°, β = 90.00°, γ = 90.00°
Space group I4/mmm (No. 139)
Inequivalent atoms, fractional coordinates:
Te (0.000, 0.000, 0.134) [4 per cell]
As (0.000, 0.000, 0.500) [2 per cell]
Pd (0.000, 0.000, 0.327) [4 per cell]
Pd (0.000, 0.500, 0.000) [4 per cell]

Magnetization ... 0.00 μB/f.u.
DOS at the Fermi energy ... 6.4 states/eV/f.u.
Formation energy without anion corrections ... 6 kJ/mol of atoms
DFT total energy ... -4.471 eV/atom
Crystal system ... tetragonal

=====

[6]
VASP calculation (PBE) on crystalline VCo4Tc at its relaxed geometry.

a = 3.8455 Å, b = 3.8455 Å, c = 18.9907 Å
α = 90.00°, β = 90.00°, γ = 120.00°
Space group R-3m (No. 166, hexagonal axes)
Inequivalent atoms, fractional coordinates:
V (0.0000, 0.0000, 0.0000) [3 per cell]
Co (0.0000, 0.0000, 0.1229) [6 per cell]
Co (0.0000, 0.0000, 0.3741) [6 per cell]
Tc (0.0000, 0.0000, 0.5000) [3 per cell]

Magnetization ... 0.00 μB/f.u.
DOS at the Fermi energy ... 3.6 states/eV/f.u.
Distance to the lowest polymorph of the same formula ... 0.473 eV per atom
DFT total energy ... -7.489 eV/atom
Crystal system ... trigonal
ΔH_f (0 K) ... 0.50 eV/atom

=====

Q: Which value of DOS at the Fermi energy does entry 6 give?
A: 3.6 states/eV/f.u.

=====

Q: Which of these has the lowest DFT total energy?
A: VCo4Tc

=====

Q: DFT total energy of number 5 (Te2AsPd4)?
A: -4.471 eV/atom